w) # PBE-GGA TaSb2Ir, optimized geometry
data_TaSb2Ir
_chemical_formula_sum 'Ta1 Sb2 Ir1'
_cell_length_a 3.4385
_cell_length_b 3.4385
_cell_length_c 6.4235
_cell_angle_alpha 90.00
_cell_angle_beta 90.00
_cell_angle_gamma 90.00
_space_group_name_H-M_alt 'P 4/m m m'
_space_group_IT_number 123
_space_group_name_Hall '-P 4 2'
loop_
_atom_site_label
_atom_site_type_symbol
_atom_site_fract_x
_atom_site_fract_y
_atom_site_fract_z
Ta1 Ta 0.0000 0.0000 0.0000
Sb1 Sb 0.5000 0.5000 0.2512
Ir1 Ir 0.0000 0.0000 0.5000
# - total moment (μB/f.u.) = 0.00


x) # PBE-GGA TaSb2Ir, optimized geometry
data_TaSb2Ir
_chemical_formula_sum 'Ta2 Sb4 Ir2'
_cell_length_a 4.1235
_cell_length_b 4.1235
_cell_length_c 9.1060
_cell_angle_alpha 90.00
_cell_angle_beta 90.00
_cell_angle_gamma 90.00
_space_group_name_H-M_alt 'I -4 m 2'
_space_group_IT_number 119
_space_group_name_Hall 'I -4 -2'
loop_
_atom_site_label
_atom_site_type_symbol
_atom_site_fract_x
_atom_site_fract_y
_atom_site_fract_z
Ta1 Ta 0.0000 0.0000 0.0000
Sb1 Sb 0.0000 0.0000 0.5000
Sb2 Sb 0.0000 0.5000 0.2500
Ir1 Ir 0.0000 0.5000 0.7500
# - total moment (μB/f.u.) = 0.00


Which one is the least stable? From the structures above, x).